[1]
! DyAl3Ga PBE relaxed; values from VASP
! ΔE_f	-0.15	eV per formula unit
&SYSTEM
  ibrav = 0, nat = 10, ntyp = 3
/
ATOMIC_SPECIES
Dy 162.50 Dy.upf
Al 26.98 Al.upf
Ga 69.72 Ga.upf
CELL_PARAMETERS angstrom
9.4734 0.0000 0.0000
0.0000 2.9781 0.0000
0.0000 0.0000 7.3657
ATOMIC_POSITIONS angstrom
Dy 2.3684 0.0000 1.5643
Dy 7.1051 0.0000 5.8014
Al 0.0000 1.4890 3.6829
Al 0.8890 1.4890 6.4182
Al 3.8477 1.4890 6.4182
Al 4.7367 1.4890 3.6829
Al 5.6257 1.4890 0.9475
Al 8.5844 1.4890 0.9475
Ga 2.3684 1.4890 4.2533
Ga 7.1051 1.4890 3.1124

***

[2]
! Y2Be2AgPd5 PBE relaxed; values from VASP
! ΔE_f	-6.72	eV per formula unit
&SYSTEM
  ibrav = 0, nat = 20, ntyp = 4
/
ATOMIC_SPECIES
Y 88.91 Y.upf
Be 9.01 Be.upf
Ag 107.87 Ag.upf
Pd 106.42 Pd.upf
CELL_PARAMETERS angstrom
9.5799 0.0000 0.0000
0.0000 9.5799 0.0000
0.0000 0.0000 3.5524
ATOMIC_POSITIONS angstrom
Y 1.7193 3.0707 0.0000
Y 3.0707 7.8606 0.0000
Y 6.5093 1.7193 0.0000
Y 7.8606 6.5093 0.0000
Be 1.1251 5.9151 0.0000
Be 3.6649 1.1251 0.0000
Be 5.9151 8.4548 0.0000
Be 8.4548 3.6649 0.0000
Ag 0.0000 0.0000 0.0000
Ag 4.7900 4.7900 0.0000
Pd 0.0000 4.7900 1.7762
Pd 0.6598 7.4927 1.7762
Pd 2.0873 0.6598 1.7762
Pd 2.7027 5.4497 1.7762
Pd 4.1302 2.7027 1.7762
Pd 4.7900 0.0000 1.7762
Pd 5.4497 6.8772 1.7762
Pd 6.8772 4.1302 1.7762
Pd 7.4927 8.9202 1.7762
Pd 8.9202 2.0873 1.7762

***

[3]
! Zr2AuSe2 PBE relaxed; values from VASP
! formation energy from raw total energies	-88.14	kJ/mol of atoms
! energy relative to the lowest polymorph listed for this composition	0	meV per atom
&SYSTEM
  ibrav = 0, nat = 10, ntyp = 3
/
ATOMIC_SPECIES
Zr 91.22 Zr.upf
Au 196.97 Au.upf
Se 78.96 Se.upf
CELL_PARAMETERS angstrom
7.6009 0.0000 0.0000
0.0000 7.6009 0.0000
0.0000 0.0000 3.5306
ATOMIC_POSITIONS angstrom
Zr 1.1307 2.6697 0.0000
Zr 2.6697 6.4702 0.0000
Zr 4.9311 1.1307 0.0000
Zr 6.4702 4.9311 0.0000
Au 0.0000 0.0000 0.0000
Au 3.8004 3.8004 0.0000
Se 1.0861 4.8866 1.7653
Se 2.7143 1.0861 1.7653
Se 4.8866 6.5147 1.7653
Se 6.5147 2.7143 1.7653

***

[4]
! Nd2Dy6Er3 PBE relaxed; values from VASP
! ΔE_f	3.03	eV per formula unit
! energy relative to the lowest polymorph listed for this composition	94	meV per atom
&SYSTEM
  ibrav = 0, nat = 11, ntyp = 3
/
ATOMIC_SPECIES
Nd 144.24 Nd.upf
Dy 162.50 Dy.upf
Er 167.26 Er.upf
CELL_PARAMETERS angstrom
-2.3632 2.3632 16.6061
2.3632 -2.3632 16.6061
2.3632 2.3632 -16.6061
ATOMIC_POSITIONS angstrom
Nd 0.0000 0.0000 1.5326
Nd 0.0000 0.0000 31.6796
Dy 2.3632 0.0000 4.0655
Dy 0.0000 0.0000 6.5274
Dy 2.3632 0.0000 12.5406
Dy 0.0000 2.3632 4.0655
Dy 0.0000 0.0000 26.6848
Dy 0.0000 2.3632 12.5406
Er 0.0000 0.0000 9.9410
Er 0.0000 0.0000 16.6061
Er 0.0000 0.0000 23.2711

***

[5]
! Ca3Zn4Sn4 PBE relaxed; values from VASP
! ΔE_f	-4.48	eV per formula unit
&SYSTEM
  ibrav = 0, nat = 11, ntyp = 3
/
ATOMIC_SPECIES
Ca 40.08 Ca.upf
Zn 65.41 Zn.upf
Sn 118.71 Sn.upf
CELL_PARAMETERS angstrom
-2.3886 3.5511 7.7058
2.3886 -3.5511 7.7058
2.3886 3.5511 -7.7058
ATOMIC_POSITIONS angstrom
Ca 0.0000 0.0000 0.0000
Ca 2.3886 0.0000 5.7733
Ca 0.0000 3.5511 1.9325
Zn 2.3886 1.3366 -2.5880
Zn 2.3886 1.3366 2.5880
Zn 0.0000 2.2145 5.1178
Zn 0.0000 2.2145 10.2938
Sn 0.0000 0.0000 3.3830
Sn 2.3886 2.1205 0.0000
Sn 0.0000 1.4306 7.7058
Sn 0.0000 0.0000 12.0286

***

[6]
! La3Tb7Tl2 PBE relaxed; values from VASP
! ΔE_f	-0.48	eV per formula unit
&SYSTEM
  ibrav = 0, nat = 12, ntyp = 3
/
ATOMIC_SPECIES
La 138.91 La.upf
Tb 158.93 Tb.upf
Tl 204.38 Tl.upf
CELL_PARAMETERS angstrom
5.7761 0.0000 0.0000
0.0000 3.6543 0.0000
-1.2545 0.0000 18.5763
ATOMIC_POSITIONS angstrom
La 0.0000 0.0000 0.0000
La 0.8096 1.8272 11.8462
La 3.7120 1.8272 6.7302
Tb 0.8441 1.8272 2.8009
Tb 0.8148 0.0000 8.5402
Tb 0.7807 0.0000 15.4907
Tb 2.8880 1.8272 0.0000
Tb 3.7409 0.0000 3.0857
Tb 3.7067 0.0000 10.0361
Tb 3.6774 1.8272 15.7754
Tl 0.8120 0.0000 5.4187
Tl 3.7096 0.0000 13.1577

***

[7]
! Y8SiTe3Se3 PBE relaxed; values from VASP
! formation energy from raw total energies	-131.22	kJ/mol of atoms
&SYSTEM
  ibrav = 0, nat = 15, ntyp = 4
/
ATOMIC_SPECIES
Y 88.91 Y.upf
Si 28.09 Si.upf
Te 127.60 Te.upf
Se 78.96 Se.upf
CELL_PARAMETERS angstrom
4.1606 2.4022 7.0180
-4.1606 2.4022 7.0180
0.0000 -4.8043 7.0180
ATOMIC_POSITIONS angstrom
Y 0.0000 0.0000 5.0293
Y -2.0374 -1.1763 12.0733
Y 0.0000 -2.3525 8.9806
Y -2.0374 1.1763 8.9806
Y 2.0374 -1.1763 12.0733
Y 0.0000 2.3525 12.0733
Y 2.0374 1.1763 8.9806
Y 0.0000 0.0000 16.0246
Si 0.0000 0.0000 10.5269
Te -2.0803 -1.2011 7.0180
Te -2.0803 1.2011 14.0359
Te 0.0000 2.4021 7.0180
Se -4.1606 0.0000 10.5269
Se -2.0803 1.2011 3.5090
Se 2.0803 1.2011 3.5090

***

[8]
! ZrPAu PBE relaxed; values from VASP
! ΔE_f	-1.79	eV per formula unit
&SYSTEM
  ibrav = 0, nat = 3, ntyp = 3
/
ATOMIC_SPECIES
Zr 91.22 Zr.upf
P 30.97 P.upf
Au 196.97 Au.upf
CELL_PARAMETERS angstrom
3.9601 0.0000 0.0000
-1.9801 3.4296 0.0000
0.0000 0.0000 4.1863
ATOMIC_POSITIONS angstrom
Zr 0.0000 0.0000 0.0000
P 1.9801 1.1432 2.8525
Au 0.0000 2.2864 1.8317

***

[9]
! Pu6Bi PBE relaxed; values from VASP
! ΔE_f	2.28	eV per formula unit
&SYSTEM
  ibrav = 0, nat = 7, ntyp = 2
/
ATOMIC_SPECIES
Pu 244.00 Pu.upf
Bi 208.98 Bi.upf
CELL_PARAMETERS angstrom
-3.3646 3.3646 3.3646
3.3646 -3.3646 3.3646
3.3646 3.3646 -3.3646
ATOMIC_POSITIONS angstrom
Pu 3.3646 1.6823 0.0000
Pu 3.3646 0.0000 1.6823
Pu 1.6823 3.3646 0.0000
Pu 1.6823 0.0000 3.3646
Pu 0.0000 3.3646 1.6823
Pu 0.0000 1.6823 3.3646
Bi 0.0000 0.0000 0.0000

***

[10]
! La4SeCl PBE relaxed; values from VASP
! formation energy from raw total energies	-18.43	kJ/mol of atoms
&SYSTEM
  ibrav = 0, nat = 6, ntyp = 3
/
ATOMIC_SPECIES
La 138.91 La.upf
Se 78.96 Se.upf
Cl 35.45 Cl.upf
CELL_PARAMETERS angstrom
0.0000 4.5467 4.5467
4.5467 0.0000 4.5467
4.5467 4.5467 0.0000
ATOMIC_POSITIONS angstrom
La 1.1228 1.1228 1.1228
La 3.4239 3.4239 1.1228
La 3.4239 1.1228 3.4239
La 1.1228 3.4239 3.4239
Se 6.8200 6.8200 6.8200
Cl 4.5467 4.5467 4.5467

***

[11]
! MnAuSe2 PBE relaxed; values from VASP
! formation energy from raw total energies	-16.76	kJ/mol of atoms
&SYSTEM
  ibrav = 0, nat = 16, ntyp = 3
/
ATOMIC_SPECIES
Mn 54.94 Mn.upf
Au 196.97 Au.upf
Se 78.96 Se.upf
CELL_PARAMETERS angstrom
8.3632 0.0000 0.0000
0.0000 6.7320 0.0000
0.0000 0.0000 6.8940
ATOMIC_POSITIONS angstrom
Mn 0.0000 0.0000 0.0000
Mn 0.0000 3.3660 0.0000
Mn 4.1816 0.0000 3.4470
Mn 4.1816 3.3660 3.4470
Au 1.9371 1.6830 3.4193
Au 2.2445 5.0490 6.8663
Au 6.1186 1.6830 0.0278
Au 6.4261 5.0490 3.4748
Se 0.3444 5.0490 1.7841
Se 1.5127 1.6830 0.9781
Se 2.6689 5.0490 4.4251
Se 3.8371 1.6830 5.2311
Se 4.5260 5.0490 1.6629
Se 5.6943 1.6830 2.4689
Se 6.8505 5.0490 5.9159
Se 8.0187 1.6830 5.1100

***

[12]
! CeTiNi2Ge2 PBE relaxed; values from VASP
! ΔE_f	-4.32	eV per formula unit
&SYSTEM
  ibrav = 0, nat = 6, ntyp = 4
/
ATOMIC_SPECIES
Ce 140.12 Ce.upf
Ti 47.87 Ti.upf
Ni 58.69 Ni.upf
Ge 72.64 Ge.upf
CELL_PARAMETERS angstrom
4.1282 0.0000 0.0000
-2.0641 3.5751 0.0000
0.0000 0.0000 6.8266
ATOMIC_POSITIONS angstrom
Ce 0.0000 0.0000 0.0000
Ti 0.0000 0.0000 3.4133
Ni 0.0000 2.3834 2.3102
Ni 2.0641 1.1917 4.5165
Ge 0.0000 2.3834 4.9096
Ge 2.0641 1.1917 1.9170

***

Which DFT total energy belongs to each record? In order, -3.80 -5.59 -6.38 -4.35 -2.87 -4.37 -6.49 -6.34 -12.51 -4.36 -5.03 -6.49 eV per atom.